1.
# Ag2Sn2Pd5 GGA-PBE relaxed
data_Ag2Sn2Pd5
_chemical_formula_sum 'Ag8 Sn8 Pd20'
_cell_length_a 16.582
_cell_length_b 4.617
_cell_length_c 8.098
_cell_angle_alpha 90.00
_cell_angle_beta 90.00
_cell_angle_gamma 90.00
_space_group_name_H-M_alt 'I m a 2'
_space_group_IT_number 46
loop_
_space_group_symop_operation_xyz
'x,y,z'
'-x,-y,z'
'-x+1/2,y,z'
'x+1/2,-y,z'
'x+1/2,y+1/2,z+1/2'
'-x+1/2,-y+1/2,z+1/2'
'-x,y+1/2,z+1/2'
'x,-y+1/2,z+1/2'
loop_
_atom_site_label
_atom_site_fract_x
_atom_site_fract_y
_atom_site_fract_z
Ag1 0.087 0.001 0.000
Sn1 0.000 0.000 0.333
Sn2 0.250 0.001 0.668
Pd1 0.084 0.501 0.169
Pd2 0.165 0.000 0.334
Pd3 0.250 0.501 0.500
# - final energy (eV per atom) = -4.70
# - E_form (meV per atom) = -294


2.
# Ag2SnPd GGA-PBE relaxed
data_Ag2SnPd
_chemical_formula_sum 'Ag8 Sn4 Pd4'
_cell_length_a 6.660
_cell_length_b 6.660
_cell_length_c 6.660
_cell_angle_alpha 90.00
_cell_angle_beta 90.00
_cell_angle_gamma 90.00
_space_group_name_H-M_alt 'F m -3 m'
_space_group_IT_number 225
_space_group_name_Hall '-F 4 2 3'
loop_
_atom_site_label
_atom_site_fract_x
_atom_site_fract_y
_atom_site_fract_z
Ag1 0.250 0.250 0.250
Sn1 0.000 0.000 0.000
Pd1 0.000 0.000 0.500
# - final energy (eV per atom) = -3.80
# - E_form (meV per atom) = -72
# - ΔE to the lowest computed polymorph (eV/atom) = 0.079


3.
# AgSn4Pd5 GGA-PBE relaxed
data_AgSn4Pd5
_chemical_formula_sum 'Ag2 Sn8 Pd10'
_cell_length_a 3.621
_cell_length_b 8.695
_cell_length_c 12.553
_cell_angle_alpha 90.00
_cell_angle_beta 90.00
_cell_angle_gamma 90.00
_space_group_name_H-M_alt 'I m m m'
_space_group_IT_number 71
_space_group_name_Hall '-I 2 2'
loop_
_atom_site_label
_atom_site_fract_x
_atom_site_fract_y
_atom_site_fract_z
Ag1 0.000 0.000 0.000
Sn1 0.000 0.000 0.263
Sn2 0.000 0.241 0.500
Pd1 0.000 0.281 0.164
Pd2 0.000 0.500 0.000
# - final energy (eV per atom) = -4.86
# - E_form (meV per atom) = -373


What is the E_form in the second record? -72 meV per atom